A plane-wave DFT calculation with PBE-GGA was carried out for an optimized crystal structure of Ga2Ir3Rh8.

## Properties
ΔE_f   0.056 eV/atom
Magnetic moment   0.00 μB/atom
Space-group type   Cmmm, No. 65

Lattice parameters (Å, degrees): 8.0319 8.0319 4.2127 90.00 90.00 132.85
Atoms (fractional coordinates):
Ga 0.2312 0.7688 0.0000
Ga 0.7688 0.2312 0.0000
Ir 0.0000 0.0000 0.0000
Ir 0.2989 0.2989 0.5000
Ir 0.7011 0.7011 0.5000
Rh 0.1260 0.8740 0.5000
Rh 0.1769 0.4101 0.0000
Rh 0.3304 0.6696 0.5000
Rh 0.4101 0.1769 0.0000
Rh 0.5899 0.8231 0.0000
Rh 0.6696 0.3304 0.5000
Rh 0.8231 0.5899 0.0000
Rh 0.8740 0.1260 0.5000

=====

A plane-wave DFT calculation with PBE-GGA was carried out for an optimized crystal structure of GaIrRh2.

## Properties
ΔE_f   -0.066 eV/atom
Magnetic moment   0.09 μB/atom
Space-group type   R3m, No. 160

Lattice parameters (Å, degrees): 4.4134 4.4134 4.4134 58.31 58.31 58.31
Atoms (fractional coordinates):
Ga 0.0000 0.0000 0.0000
Ir 0.2608 0.2608 0.2608
Rh 0.4992 0.4992 0.4992
Rh 0.7385 0.7385 0.7385

=====

A plane-wave DFT calculation with PBE-GGA was carried out for an optimized crystal structure of Ga3IrRh.

## Properties
ΔE_f   -0.473 eV/atom
Magnetic moment   0.00 μB/atom
Relative energy among the computed polymorphs   0 meV/atom
Space-group type   Imma, No. 74

Lattice parameters (Å, degrees): 8.9635 8.9635 8.9635 152.59 97.59 88.86
Atoms (fractional coordinates):
Ga 0.0401 0.6598 0.3803
Ga 0.1226 0.0041 0.1185
Ga 0.2206 0.3402 0.8803
Ga 0.2947 0.6623 0.6324
Ga 0.3856 0.0041 0.3815
Ga 0.4700 0.3377 0.1324
Ga 0.5300 0.6623 0.8676
Ga 0.6144 0.9959 0.6185
Ga 0.7053 0.3377 0.3676
Ga 0.7794 0.6598 0.1197
Ga 0.8774 0.9959 0.8815
Ga 0.9599 0.3402 0.6197
Ir 0.1735 0.1697 0.0038
Ir 0.3341 0.8303 0.5038
Ir 0.6659 0.1697 0.4962
Ir 0.8265 0.8303 0.9962
Rh 0.0840 0.8340 0.2500
Rh 0.2481 0.4981 0.7500
Rh 0.7519 0.5019 0.2500
Rh 0.9160 0.1660 0.7500

=====

A plane-wave DFT calculation with PBE-GGA was carried out for an optimized crystal structure of GaIr3Rh.

## Properties
ΔE_f   1.796 eV/atom
Magnetic moment   0.00 μB/atom
Relative energy among the computed polymorphs   297 meV/atom
Space-group type   Pm-3m, No. 221

Lattice parameters (Å, degrees): 4.7274 4.7274 4.7274 90.00 90.00 90.00
Atoms (fractional coordinates):
Ga 0.0000 0.0000 0.0000
Ir 0.0000 0.5000 0.5000
Ir 0.5000 0.0000 0.5000
Ir 0.5000 0.5000 0.0000
Rh 0.5000 0.5000 0.5000

=====

A plane-wave DFT calculation with PBE-GGA was carried out for an optimized crystal structure of Ga2IrRh.

## Properties
ΔE_f   -0.544 eV/atom
Magnetic moment   0.00 μB/atom
Relative energy among the computed polymorphs   0 meV/atom
Space-group type   Fm-3m, No. 225

Lattice parameters (Å, degrees): 4.3114 4.3114 4.3114 60.00 60.00 60.00
Atoms (fractional coordinates):
Ga 0.2500 0.2500 0.2500
Ga 0.7500 0.7500 0.7500
Ir 0.0000 0.0000 0.0000
Rh 0.5000 0.5000 0.5000

=====

A plane-wave DFT calculation with PBE-GGA was carried out for an optimized crystal structure of Ga2IrRh.

## Properties
ΔE_f   -0.256 eV/atom
Magnetic moment   0.00 μB/atom
Relative energy among the computed polymorphs   289 meV/atom
Space-group type   R3m, No. 160

Lattice parameters (Å, degrees): 5.5533 5.5533 5.5533 40.64 40.64 40.64
Atoms (fractional coordinates):
Ga 0.0000 0.0000 0.0000
Ga 0.1759 0.1759 0.1759
Ir 0.5919 0.5919 0.5919
Rh 0.4143 0.4143 0.4143

=====

A plane-wave DFT calculation with PBE-GGA was carried out for an optimized crystal structure of Ga8Ir5Rh.

## Properties
ΔE_f   -0.259 eV/atom
Magnetic moment   0.00 μB/atom
Space-group type   I-4, No. 82

Lattice parameters (Å, degrees): 6.5417 6.5417 6.5417 110.92 110.92 106.60
Atoms (fractional coordinates):
Ga 0.1814 0.4403 0.0814
Ga 0.3588 0.1000 0.9186
Ga 0.4157 0.1536 0.4060
Ga 0.5597 0.6412 0.7412
Ga 0.7476 0.0097 0.5940
Ga 0.8464 0.2524 0.2621
Ga 0.9000 0.8186 0.2588
Ga 0.9903 0.5843 0.7379
Ir 0.0000 0.0000 0.0000
Ir 0.1831 0.2791 0.6414
Ir 0.4583 0.8169 0.0960
Ir 0.6377 0.5417 0.3586
Ir 0.7209 0.3623 0.9040
Rh 0.2500 0.7500 0.5000

=====

A plane-wave DFT calculation with PBE-GGA was carried out for an optimized crystal structure of GaIr3Rh.

## Properties
ΔE_f   1.499 eV/atom
Magnetic moment   0.52 μB/atom
Relative energy among the computed polymorphs   0 meV/atom
Space-group type   Pm-3m, No. 221

Lattice parameters (Å, degrees): 4.4974 4.4974 4.4974 90.00 90.00 90.00
Atoms (fractional coordinates):
Ga 0.0000 0.0000 0.0000
Ir 0.0000 0.0000 0.5000
Ir 0.0000 0.5000 0.0000
Ir 0.5000 0.0000 0.0000
Rh 0.5000 0.5000 0.5000

=====

A plane-wave DFT calculation with PBE-GGA was carried out for an optimized crystal structure of Ga3IrRh.

## Properties
ΔE_f   0.290 eV/atom
Magnetic moment   0.02 μB/atom
Relative energy among the computed polymorphs   764 meV/atom
Space-group type   Pm-3m, No. 221

Lattice parameters (Å, degrees): 4.7055 4.7055 4.7055 90.00 90.00 90.00
Atoms (fractional coordinates):
Ga 0.0000 0.0000 0.5000
Ga 0.0000 0.5000 0.0000
Ga 0.5000 0.0000 0.0000
Ir 0.0000 0.0000 0.0000
Rh 0.5000 0.5000 0.5000

=====

A plane-wave DFT calculation with PBE-GGA was carried out for an optimized crystal structure of Ga2IrRh.

## Properties
ΔE_f   -0.542 eV/atom
Magnetic moment   0.00 μB/atom
Relative energy among the computed polymorphs   2 meV/atom
Space-group type   P4/mmm, No. 123

Lattice parameters (Å, degrees): 4.3319 4.3319 3.0191 90.00 90.00 90.00
Atoms (fractional coordinates):
Ga 0.0000 0.5000 0.0000
Ga 0.5000 0.0000 0.0000
Ir 0.0000 0.0000 0.5000
Rh 0.5000 0.5000 0.5000